# 1
The following is a DFT calculation (PBE) of a geometry-optimized NdDySbTe structure.

Structure (extended XYZ):
```
4
Lattice="2.222 1.283 7.271 -2.222 1.283 7.271 0.000 -2.565 7.271" Properties=species:S:1:pos:R:3 pbc="T T T"
Nd 0.000 0.000 0.000
Dy 0.000 0.000 10.754
Sb 0.000 0.000 16.357
Te 0.000 0.000 5.302
```

Output
- formation energy from raw total energies (meV per atom) = -1301
- symmetry = R3m (160)
- M_tot (μB/f.u.) = 0.00

# 2
The following is a DFT calculation (PBE) of a geometry-optimized AcPr2Tc structure.

Structure (extended XYZ):
```
4
Lattice="1.830 1.057 11.466 -1.830 1.057 11.466 0.000 -2.113 11.466" Properties=species:S:1:pos:R:3 pbc="T T T"
Ac 0.000 0.000 0.000
Pr 0.000 0.000 3.702
Pr 0.000 0.000 30.696
Tc 0.000 0.000 17.199
```

Output
- symmetry = R-3m (166)
- M_tot (μB/f.u.) = 0.00
- polymorph energy (0 for the lowest one) (meV/atom) = 323

# 3
The following is a DFT calculation (PBE) of a geometry-optimized Ti6Re2Mo structure.

Structure (extended XYZ):
```
9
Lattice="6.772 -3.922 0.000 6.772 3.922 0.000 -0.248 0.000 2.703" Properties=species:S:1:pos:R:3 pbc="T T T"
Ti 4.428 1.347 0.571
Ti 6.772 2.615 0.000
Ti 8.867 1.347 2.132
Ti 4.428 -1.347 0.571
Ti 6.772 -2.615 0.000
Ti 8.867 -1.347 2.132
Re 2.146 0.000 1.351
Re 11.149 0.000 1.352
Mo 6.648 0.000 1.352
```

Output
- total energy (eV/cell) = -83.79
- symmetry = C2/m (12)
- M_tot (μB/f.u.) = 0.00

# 4
The following is a DFT calculation (PBE) of a geometry-optimized SmEuErCd structure.

Structure (extended XYZ):
```
4
Lattice="0.000 3.912 3.912 3.912 0.000 3.912 3.912 3.912 0.000" Properties=species:S:1:pos:R:3 pbc="T T T"
Sm 0.000 0.000 0.000
Eu 1.956 1.956 1.956
Er 3.912 3.912 3.912
Cd 5.868 5.868 5.868
```

Output
- total energy (eV/cell) = -20.48
- symmetry = F-43m (216)
- M_tot (μB/f.u.) = 7.18

# 5
The following is a DFT calculation (PBE) of a geometry-optimized SiPRu structure.

Structure (extended XYZ):
```
3
Lattice="2.909 0.000 0.000 0.000 2.909 0.000 0.000 0.000 5.148" Properties=species:S:1:pos:R:3 pbc="T T T"
Si 0.000 0.000 0.000
P 0.000 0.000 2.239
Ru 1.455 1.455 3.687
```

Output
- formation energy from raw total energies (meV per atom) = -200
- symmetry = P4mm (99)
- M_tot (μB/f.u.) = 0.00

# 6
The following is a DFT calculation (PBE) of a geometry-optimized HfMnGe2C structure.

Structure (extended XYZ):
```
5
Lattice="4.721 0.000 0.000 0.000 4.721 0.000 0.000 0.000 3.642" Properties=species:S:1:pos:R:3 pbc="T T T"
Hf 0.000 0.000 0.000
Mn 2.360 2.360 1.821
Ge 0.000 2.360 1.821
Ge 2.360 0.000 1.821
C 2.360 2.360 0.000
```

Output
- total energy (eV/cell) = -34.47
- symmetry = P4/mmm (123)
- M_tot (μB/f.u.) = 0.00

# 7
The following is a DFT calculation (PBE) of a geometry-optimized ZrF structure.

Structure (extended XYZ):
```
4
Lattice="1.650 0.952 7.467 -1.650 0.952 7.467 0.000 -1.905 7.467" Properties=species:S:1:pos:R:3 pbc="T T T"
Zr 0.000 0.000 4.923
Zr 0.000 0.000 17.478
F 0.000 0.000 8.716
F 0.000 0.000 13.685
```

Output
- formation energy from raw total energies (meV per atom) = -2260
- symmetry = R-3m (166)
- M_tot (μB/f.u.) = 0.00
- polymorph energy (0 for the lowest one) (meV/atom) = 0

# 8
The following is a DFT calculation (PBE) of a geometry-optimized NbH3Rh structure.

Structure (extended XYZ):
```
5
Lattice="-1.508 1.508 4.607 1.508 -1.508 4.607 1.508 1.508 -4.607" Properties=species:S:1:pos:R:3 pbc="T T T"
Nb 0.000 0.000 0.000
H 1.508 0.000 3.242
H 0.000 0.000 4.650
H 0.000 1.508 3.242
Rh 0.000 0.000 6.412
```

Output
- total energy (eV/cell) = -28.13
- symmetry = I4mm (107)
- M_tot (μB/f.u.) = 0.00

# 9
The following is a DFT calculation (PBE) of a geometry-optimized MgNbZn2 structure.

Structure (extended XYZ):
```
4
Lattice="4.128 0.000 0.000 0.000 4.128 0.000 0.000 0.000 3.865" Properties=species:S:1:pos:R:3 pbc="T T T"
Mg 0.000 0.000 0.000
Nb 2.064 2.064 0.000
Zn 0.000 2.064 1.932
Zn 2.064 0.000 1.932
```

Output
- total energy (eV/cell) = -14.48
- symmetry = P4/mmm (123)
- M_tot (μB/f.u.) = 0.00

# 10
The following is a DFT calculation (PBE) of a geometry-optimized Ba6AgP2I3 structure.

Structure (extended XYZ):
```
12
Lattice="4.170 -7.213 0.000 4.170 7.213 0.000 -2.791 0.000 8.400" Properties=species:S:1:pos:R:3 pbc="T T T"
Ba -0.093 2.548 6.659
Ba 1.223 0.000 1.726
Ba -0.093 -2.548 6.659
Ba 5.644 2.548 1.742
Ba 4.327 0.000 6.674
Ba 5.644 -2.548 1.742
Ag 4.170 0.000 0.000
P 4.170 4.802 0.000
P 4.170 -4.802 0.000
I -1.395 0.000 4.200
I 2.775 2.357 4.200
I 2.775 -2.357 4.200
```

Output
- formation energy from raw total energies (meV per atom) = -1176
- symmetry = C2/m (12)
- M_tot (μB/f.u.) = 1.84

# 11
The following is a DFT calculation (PBE) of a geometry-optimized SnRuRhO6 structure.

Structure (extended XYZ):
```
18
Lattice="4.642 0.000 0.000 0.000 4.642 0.000 0.000 0.000 9.587" Properties=species:S:1:pos:R:3 pbc="T T T"
Sn 0.000 0.000 0.000
Sn 2.321 2.321 4.793
Ru 0.000 0.000 3.176
Ru 2.321 2.321 7.970
Rh 0.000 0.000 6.407
Rh 2.321 2.321 1.613
O 0.858 0.858 4.777
O 0.901 0.901 1.648
O 0.933 0.933 7.959
O 1.389 3.254 3.166
O 1.420 3.222 6.441
O 1.463 3.180 9.570
O 3.180 1.463 9.570
O 3.222 1.420 6.441
O 3.254 1.389 3.166
O 3.710 3.710 7.959
O 3.741 3.741 1.648
O 3.784 3.784 4.777
```

Output
- formation energy from raw total energies (meV per atom) = -1072
- symmetry = P4_2nm (102)
- M_tot (μB/f.u.) = 0.83

# 12
The following is a DFT calculation (PBE) of a geometry-optimized SrCdPt2 structure.

Structure (extended XYZ):
```
4
Lattice="3.792 0.000 0.000 0.000 3.792 0.000 0.000 0.000 6.107" Properties=species:S:1:pos:R:3 pbc="T T T"
Sr 0.000 0.000 0.000
Cd 1.896 1.896 2.060
Pt 0.000 0.000 3.098
Pt 1.896 1.896 4.763
```

Output
- total energy (eV/cell) = -15.62
- symmetry = P4mm (99)
- M_tot (μB/f.u.) = 0.00

# 13
The following is a DFT calculation (PBE) of a geometry-optimized Li2TlPbBr6 structure.

Structure (extended XYZ):
```
10
Lattice="3.650 2.107 6.579 -3.650 2.107 6.579 0.000 -4.214 6.579" Properties=species:S:1:pos:R:3 pbc="T T T"
Li 0.000 0.000 0.000
Li 0.000 0.000 9.714
Tl 0.000 0.000 5.858
Pb 0.000 0.000 15.785
Br -2.222 0.284 7.964
Br -1.415 -1.821 11.257
Br 0.865 -2.066 7.964
Br -0.869 2.136 11.257
Br 1.356 1.782 7.964
Br 2.285 -0.315 11.257
```

Output
- formation energy from raw total energies (meV per atom) = -1009
- symmetry = R3 (146)
- M_tot (μB/f.u.) = 0.00

# 14
The following is a DFT calculation (PBE) of a geometry-optimized TlInSeS structure.

Structure (extended XYZ):
```
4
Lattice="3.563 -2.057 0.000 3.563 2.057 0.000 -2.363 0.000 8.615" Properties=species:S:1:pos:R:3 pbc="T T T"
Tl 0.000 0.000 0.000
In 2.377 0.000 4.258
Se 2.375 0.000 1.733
S 0.001 0.000 5.326
```

Output
- formation energy from raw total energies (meV per atom) = -428
- symmetry = Cm (8)
- M_tot (μB/f.u.) = 0.00

# 15
The following is a DFT calculation (PBE) of a geometry-optimized InPt2Cl structure.

Structure (extended XYZ):
```
4
Lattice="0.000 3.293 3.293 3.293 0.000 3.293 3.293 3.293 0.000" Properties=species:S:1:pos:R:3 pbc="T T T"
In 0.000 0.000 0.000
Pt 1.646 1.646 1.646
Pt 4.939 4.939 4.939
Cl 3.293 3.293 3.293
```

Output
- formation energy from raw total energies (meV per atom) = 161
- symmetry = Fm-3m (225)
- M_tot (μB/f.u.) = 0.00
- polymorph energy (0 for the lowest one) (meV/atom) = 266

# 16
The following is a DFT calculation (PBE) of a geometry-optimized VHRh2 structure.

Structure (extended XYZ):
```
8
Lattice="-2.998 2.998 2.534 2.998 -2.998 2.534 2.998 2.998 -2.534" Properties=species:S:1:pos:R:3 pbc="T T T"
V 0.000 0.000 0.000
V 0.000 2.998 1.267
H 2.998 0.000 1.267
H 0.000 0.000 2.534
Rh 1.499 -0.949 1.901
Rh 2.049 1.499 0.634
Rh 1.499 3.946 -0.634
Rh 0.949 1.499 3.168
```

Output
- symmetry = I-42d (122)
- M_tot (μB/f.u.) = 0.62
- polymorph energy (0 for the lowest one) (meV/atom) = 177

# 17
The following is a DFT calculation (PBE) of a geometry-optimized MgAsIr2 structure.

Structure (extended XYZ):
```
4
Lattice="1.476 0.852 8.491 -1.476 0.852 8.491 0.000 -1.704 8.491" Properties=species:S:1:pos:R:3 pbc="T T T"
Mg 0.000 0.000 0.000
As 0.000 0.000 19.359
Ir 0.000 0.000 6.452
Ir 0.000 0.000 12.736
```

Output
- symmetry = R3m (160)
- M_tot (μB/f.u.) = 0.00
- polymorph energy (0 for the lowest one) (meV/atom) = 227

# 18
The following is a DFT calculation (PBE) of a geometry-optimized SrTl6Pb5 structure.

Structure (extended XYZ):
```
12
Lattice="5.553 -7.527 0.000 5.553 7.527 0.000 -2.283 0.000 4.500" Properties=species:S:1:pos:R:3 pbc="T T T"
Sr 0.000 0.000 0.000
Tl 2.235 2.520 1.140
Tl 1.156 0.000 3.414
Tl 2.235 -2.520 1.140
Tl 6.589 2.520 3.360
Tl 7.668 0.000 1.087
Tl 6.589 -2.520 3.360
Pb 4.412 4.890 2.250
Pb 5.553 2.581 0.000
Pb 4.412 0.000 2.250
Pb 5.553 -2.581 0.000
Pb 4.412 -4.890 2.250
```

Output
- total energy (eV/cell) = -35.42
- symmetry = C2/m (12)
- M_tot (μB/f.u.) = 0.00

# 19
The following is a DFT calculation (PBE) of a geometry-optimized PmDyNpN3 structure.

Structure (extended XYZ):
```
12
Lattice="7.184 0.000 0.000 0.000 3.600 0.000 -1.185 0.000 8.621" Properties=species:S:1:pos:R:3 pbc="T T T"
Pm 1.022 0.900 1.146
Pm 4.977 2.700 7.474
Dy 1.664 2.700 7.335
Dy 4.335 0.900 1.286
Np -0.296 0.900 5.120
Np 6.295 2.700 3.501
N -0.272 0.900 7.323
N 0.891 2.700 5.103
N 2.690 2.700 1.039
N 3.309 0.900 7.581
N 5.108 0.900 3.518
N 6.271 2.700 1.297
```

Output
- formation energy from raw total energies (meV per atom) = -1059
- symmetry = P2_1/m (11)
- M_tot (μB/f.u.) = 1.09

# 20
The following is a DFT calculation (PBE) of a geometry-optimized MgTa2Mn structure.

Structure (extended XYZ):
```
4
Lattice="2.806 0.000 0.000 0.000 4.275 0.000 0.000 0.000 5.667" Properties=species:S:1:pos:R:3 pbc="T T T"
Mg 0.000 0.000 0.000
Ta 1.403 2.137 1.490
Ta 1.403 2.137 4.177
Mn 0.000 0.000 2.833
```

Output
- total energy (eV/cell) = -33.20
- symmetry = Pmmm (47)
- M_tot (μB/f.u.) = 2.25

# 21
The following is a DFT calculation (PBE) of a geometry-optimized Eu2CdI structure.

Structure (extended XYZ):
```
4
Lattice="2.172 1.254 8.892 -2.172 1.254 8.892 0.000 -2.508 8.892" Properties=species:S:1:pos:R:3 pbc="T T T"
Eu 0.000 0.000 6.562
Eu 0.000 0.000 20.115
Cd 0.000 0.000 13.339
I 0.000 0.000 0.000
```

Output
- formation energy from raw total energies (meV per atom) = -679
- symmetry = R-3m (166)
- M_tot (μB/f.u.) = 15.09
- polymorph energy (0 for the lowest one) (meV/atom) = 14

# 22
The following is a DFT calculation (PBE) of a geometry-optimized RbTl3I structure.

Structure (extended XYZ):
```
5
Lattice="6.505 0.000 0.000 0.000 6.505 0.000 0.000 0.000 6.505" Properties=species:S:1:pos:R:3 pbc="T T T"
Rb 0.000 0.000 0.000
Tl 0.000 3.252 3.252
Tl 3.252 0.000 3.252
Tl 3.252 3.252 0.000
I 3.252 3.252 3.252
```

Output
- formation energy from raw total energies (meV per atom) = -12
- symmetry = Pm-3m (221)
- M_tot (μB/f.u.) = 0.00
- polymorph energy (0 for the lowest one) (meV/atom) = 0

# 23
The following is a DFT calculation (PBE) of a geometry-optimized La2YHg4 structure.

Structure (extended XYZ):
```
7
Lattice="2.617 1.511 9.123 -2.617 1.511 9.123 0.000 -3.022 9.123" Properties=species:S:1:pos:R:3 pbc="T T T"
La 0.000 0.000 6.686
La 0.000 0.000 20.682
Y 0.000 0.000 0.000
Hg 0.000 0.000 3.456
Hg 0.000 0.000 10.101
Hg 0.000 0.000 17.267
Hg 0.000 0.000 23.911
```

Output
- total energy (eV/cell) = -20.17
- symmetry = R-3m (166)
- M_tot (μB/f.u.) = 0.00

# 24
The following is a DFT calculation (PBE) of a geometry-optimized HgGeAs structure.

Structure (extended XYZ):
```
9
Lattice="5.963 0.000 0.000 -2.982 5.164 0.000 0.000 0.000 7.926" Properties=species:S:1:pos:R:3 pbc="T T T"
Hg -1.840 3.645 0.000
Hg 0.744 1.748 5.284
Hg 1.095 4.935 2.642
Ge 2.781 0.054 5.149
Ge 1.638 2.728 7.791
Ge 4.525 2.381 2.507
As -1.545 3.096 4.943
As 1.073 2.278 2.302
As 0.472 4.955 7.585
```

Output
- symmetry = P3_2 (145)
- M_tot (μB/f.u.) = 0.00
- polymorph energy (0 for the lowest one) (meV/atom) = 155

# 25
The following is a DFT calculation (PBE) of a geometry-optimized TaTc2Se structure.

Structure (extended XYZ):
```
4
Lattice="-1.879 1.879 4.455 1.879 -1.879 4.455 1.879 1.879 -4.455" Properties=species:S:1:pos:R:3 pbc="T T T"
Ta 0.000 0.000 0.000
Tc 1.879 0.000 2.228
Tc 0.000 0.000 4.455
Se 0.000 1.879 2.228
```

Output
- formation energy from raw total energies (meV per atom) = 206
- symmetry = I-4m2 (119)
- M_tot (μB/f.u.) = 0.00

# 26
The following is a DFT calculation (PBE) of a geometry-optimized Np4Rh structure.

Structure (extended XYZ):
```
5
Lattice="5.272 0.000 0.000 0.000 5.272 0.000 0.000 0.000 5.272" Properties=species:S:1:pos:R:3 pbc="T T T"
Np 0.000 0.000 0.000
Np 0.000 2.636 2.636
Np 2.636 0.000 2.636
Np 2.636 2.636 0.000
Rh 2.636 2.636 2.636
```

Output
- total energy (eV/cell) = -53.95
- symmetry = Pm-3m (221)
- M_tot (μB/f.u.) = 8.57